No. 1
First-principles (PBE-GGA) data for crystalline CeHfNp at its relaxed geometry, as listed in Alexandria.

size of the total moment = 0.000 Bohr magnetons per cell
VASP energy = -110.689 eV/cell
ρ = 12.82 g/cm3
space group = I4/mmm (139)

abc: 3.2010 3.2010 28.0938
angles: 90.00 90.00 90.00
Last column: nearest neighbours and their distance in Å.
Sites, in units of the cell vectors:
Ce1 0.0000 0.0000 0.1400  4 Ce 3.20, 4 Hf 3.33, 4 Np 3.38
Ce2 0.0000 0.0000 0.8600  4 Ce 3.20, 4 Hf 3.33, 4 Np 3.38
Ce3 0.5000 0.5000 0.3600  4 Ce 3.20, 4 Hf 3.33, 4 Np 3.38
Ce4 0.5000 0.5000 0.6400  4 Ce 3.20, 4 Hf 3.33, 4 Np 3.38
Hf1 0.0000 0.0000 0.4469  5 Hf 2.98-3.20, 4 Ce 3.33
Hf2 0.0000 0.0000 0.5531  5 Hf 2.98-3.20, 4 Ce 3.33
Hf3 0.5000 0.5000 0.0531  5 Hf 2.98-3.20, 4 Ce 3.33
Hf4 0.5000 0.5000 0.9469  5 Hf 2.98-3.20, 4 Ce 3.33
Np1 0.0000 0.0000 0.2705  4 Np 2.54
Np2 0.0000 0.0000 0.7295  4 Np 2.54
Np3 0.5000 0.5000 0.2295  4 Np 2.54
Np4 0.5000 0.5000 0.7705  4 Np 2.54



No. 2
First-principles (PBE-GGA) data for crystalline TmMnSi2 at its relaxed geometry, as listed in Alexandria.

size of the total moment = 7.094 Bohr magnetons per cell
formation energy without anion corrections = -615 meV per atom
VASP energy = -107.791 eV/cell
ρ = 7.10 g/cm3
space group = Pnma (62)

abc: 7.0494 3.8028 9.7663
angles: 90.00 90.00 90.00
Last column: nearest neighbours and their distance in Å.
Sites, in units of the cell vectors:
Tm1 0.1415 0.2500 0.1317  9 Si 2.89-3.12
Tm2 0.3585 0.7500 0.6317  9 Si 2.89-3.12
Tm3 0.6415 0.2500 0.3683  9 Si 2.89-3.12
Tm4 0.8585 0.7500 0.8683  9 Si 2.89-3.12
Mn1 0.0128 0.7500 0.3933  5 Si 2.31-2.44
Mn2 0.4872 0.2500 0.8933  5 Si 2.31-2.44
Mn3 0.5128 0.7500 0.1067  5 Si 2.31-2.44
Mn4 0.9872 0.2500 0.6067  5 Si 2.31-2.44
Si1 0.1592 0.2500 0.8123  2 Mn 2.35-2.44, 2 Si 2.42
Si2 0.2132 0.2500 0.4349  3 Mn 2.31-2.40, 2 Si 2.42
Si3 0.2868 0.7500 0.9349  3 Mn 2.31-2.40, 2 Si 2.42
Si4 0.3408 0.7500 0.3123  2 Mn 2.35-2.44, 2 Si 2.42
Si5 0.6592 0.2500 0.6877  2 Mn 2.35-2.44, 2 Si 2.42
Si6 0.7132 0.2500 0.0651  3 Mn 2.31-2.40, 2 Si 2.42
Si7 0.7868 0.7500 0.5651  3 Mn 2.31-2.40, 2 Si 2.42
Si8 0.8408 0.7500 0.1877  2 Mn 2.35-2.44, 2 Si 2.42



No. 3
First-principles (PBE-GGA) data for crystalline CdGe2Pb2 at its relaxed geometry, as listed in Alexandria.

size of the total moment = 0.000 Bohr magnetons per cell
VASP energy = -32.524 eV/cell
relative energy among the computed polymorphs = 129 meV per atom
ρ = 7.89 g/cm3
space group = I4/mmm (139)

abc: 5.3806 5.3806 9.7732
angles: 90.00 90.00 90.00
Last column: nearest neighbours and their distance in Å.
Sites, in units of the cell vectors:
Cd1 0.0000 0.0000 0.0000  8 Pb 3.63, 10 Ge 3.65-4.00
Cd2 0.5000 0.5000 0.5000  8 Pb 3.63, 10 Ge 3.65-4.00
Ge1 0.0000 0.0000 0.3737  1 Ge 2.47
Ge2 0.0000 0.0000 0.6263  1 Ge 2.47
Ge3 0.5000 0.5000 0.1263  1 Ge 2.47
Ge4 0.5000 0.5000 0.8737  1 Ge 2.47
Pb1 0.0000 0.5000 0.2500  4 Ge 2.95
Pb2 0.0000 0.5000 0.7500  4 Ge 2.95
Pb3 0.5000 0.0000 0.2500  4 Ge 2.95
Pb4 0.5000 0.0000 0.7500  4 Ge 2.95